Entry 1:
Entry from the Alexandria database: a geometry-optimized K2PuO3F structure (GGA-PBE).

Calculated values
* formation energy from raw total energies: -2532.9 meV/atom
* crystal system: orthorhombic
* theoretical density: 4.81 g/cm3

Geometry as extended XYZ:
```
7
Lattice="-2.1760 2.3531 6.5614 2.1760 -2.3531 6.5614 2.1760 2.3531 -6.5614" Properties=species:S:1:pos:R:3 pbc="T T T"
K 0.0000 0.0000 1.9673
K 0.0000 0.0000 11.1554
Pu 0.0000 0.0000 6.5614
O 0.0000 0.0000 4.6273
O 0.0000 2.3531 0.0000
O 0.0000 0.0000 8.4954
F 2.1760 0.0000 0.0000
```


Entry 2:
Entry from the Alexandria database: a geometry-optimized Fe2HPdW structure (GGA-PBE).

Calculated values
* energy: -7.52 eV per atom
* crystal system: tetragonal
* theoretical density: 12.09 g/cm3

Geometry as extended XYZ:
```
5
Lattice="3.7988 0.0000 0.0000 0.0000 3.7988 0.0000 0.0000 0.0000 3.8366" Properties=species:S:1:pos:R:3 pbc="T T T"
Fe 0.0000 1.8994 0.0000
Fe 1.8994 0.0000 0.0000
H 0.0000 0.0000 0.0000
Pd 1.8994 1.8994 1.9183
W 0.0000 0.0000 1.9183
```


> theoretical density of number 1 (K2PuO3F)?

4.81 g/cm3